Compound: Nd4SiPI2
Source: Alexandria
Functional: PBE-GGA
Structure: relaxed

Values from the calculation:
density of states at the Fermi level = 2.90 states/eV/cell
total magnetic moment = 0.0 μB per formula unit
formation energy without anion corrections = -112.54 kJ/mol of atoms

Unit cell a=7.3879 b=4.2762 c=8.1236 alpha=90.00 beta=107.73 gamma=90.00
Last column: nearest neighbours and their distance in Å.
Space group P2/m (No. 10)
Unique sites:
Nd  0.2274  0.0000  0.1906 (multiplicity 2)  2 P 2.86, 1 Si 2.89
Nd  0.2658  0.5000  0.8062 (multiplicity 2)  1 P 2.87, 2 Si 2.90
Si  0.5000  0.0000  0.0000 (multiplicity 1)  6 Nd 2.89-2.90
P  0.0000  0.5000  0.0000 (multiplicity 1)  6 Nd 2.86-2.87
I  0.0000  0.0000  0.5000 (multiplicity 1)  6 Nd 3.41-3.42
I  0.5000  0.5000  0.5000 (multiplicity 1)  6 Nd 3.44

=====

Compound: Nd8SiP3I4
Source: Alexandria
Functional: PBE-GGA
Structure: relaxed

Values from the calculation:
density of states at the Fermi level = 21.47 states/eV/cell
total magnetic moment = 0.0 μB per formula unit
formation energy without anion corrections = -122.39 kJ/mol of atoms

Unit cell a=8.5079 b=8.5079 c=23.1210 alpha=90.00 beta=90.00 gamma=120.00
Last column: nearest neighbours and their distance in Å.
Space group R-3m (No. 166, hexagonal axes)
Unique sites:
Nd  0.0000  0.0000  0.2291 (multiplicity 6)  3 P 2.85
Nd  0.0034  0.5017  0.7699 (multiplicity 18)  2 P 2.85, 1 Si 2.88
Si  0.0000  0.0000  0.5000 (multiplicity 3)  6 Nd 2.88
P  0.0000  0.5000  0.5000 (multiplicity 9)  6 Nd 2.85
I  0.0000  0.0000  0.0000 (multiplicity 3)  6 Nd 3.41
I  0.0000  0.5000  0.0000 (multiplicity 9)  6 Nd 3.43-3.44

=====

Compound: Nd8Si3PI4
Source: Alexandria
Functional: PBE-GGA
Structure: relaxed

Values from the calculation:
density of states at the Fermi level = 16.54 states/eV/cell
total magnetic moment = 0.0 μB per formula unit
formation energy without anion corrections = -102.31 kJ/mol of atoms

Unit cell a=8.5883 b=8.5883 c=23.2654 alpha=90.00 beta=90.00 gamma=120.00
Last column: nearest neighbours and their distance in Å.
Space group R-3m (No. 166, hexagonal axes)
Unique sites:
Nd  0.0000  0.0000  0.2325 (multiplicity 6)  3 Si 2.91
Nd  0.0025  0.5013  0.2312 (multiplicity 18)  1 P 2.88, 2 Si 2.91
Si  0.0000  0.5000  0.5000 (multiplicity 9)  6 Nd 2.91
P  0.0000  0.0000  0.5000 (multiplicity 3)  6 Nd 2.88
I  0.0000  0.0000  0.0000 (multiplicity 3)  6 Nd 3.45
I  0.0000  0.5000  0.0000 (multiplicity 9)  6 Nd 3.41-3.43

=====

Compound: Nd6Si2PI3
Source: Alexandria
Functional: PBE-GGA
Structure: relaxed

Values from the calculation:
density of states at the Fermi level = 10.05 states/eV/cell
total magnetic moment = 0.0 μB per formula unit
formation energy without anion corrections = -105.73 kJ/mol of atoms

Unit cell a=7.4253 b=12.8600 c=8.1278 alpha=90.00 beta=107.71 gamma=90.00
Last column: nearest neighbours and their distance in Å.
Space group C2/m (No. 12)
Unique sites:
Nd  0.2299  0.1654  0.1940 (multiplicity 8)  1 P 2.88, 2 Si 2.90-2.91
Nd  0.2342  0.5000  0.1945 (multiplicity 4)  1 P 2.88, 2 Si 2.90
Si  0.0000  0.3335  0.0000 (multiplicity 4)  6 Nd 2.90-2.91
P  0.0000  0.0000  0.0000 (multiplicity 2)  6 Nd 2.88
I  0.0000  0.1680  0.5000 (multiplicity 4)  6 Nd 3.42-3.43
I  0.0000  0.5000  0.5000 (multiplicity 2)  6 Nd 3.42-3.44

=====

Compound: NdSmPI
Source: Alexandria
Functional: PBE-GGA
Structure: relaxed

Values from the calculation:
density of states at the Fermi level = 2.75 states/eV/cell
total magnetic moment = 0.0 μB per formula unit
formation energy without anion corrections = -131.76 kJ/mol of atoms

Unit cell a=4.1557 b=4.1557 c=23.1087 alpha=90.00 beta=90.00 gamma=120.00
Last column: nearest neighbours and their distance in Å.
Space group R3m (No. 160, hexagonal axes)
Unique sites:
Nd  0.0000  0.0000  0.0000 (multiplicity 3)  3 P 2.86
Sm  0.0000  0.0000  0.7953 (multiplicity 3)  3 P 2.79
P  0.0000  0.0000  0.4005 (multiplicity 3)  3 Sm 2.79, 3 Nd 2.86
I  0.0000  0.0000  0.2291 (multiplicity 3)  3 Sm 3.34, 3 Nd 3.40

=====

Compound: Nd4TePI2
Source: Alexandria
Functional: PBE-GGA
Structure: relaxed

Values from the calculation:
density of states at the Fermi level = 4.79 states/eV/cell
total magnetic moment = 0.0 μB per formula unit
formation energy without anion corrections = -120.02 kJ/mol of atoms

Unit cell a=7.7605 b=4.3038 c=8.0125 alpha=90.00 beta=107.89 gamma=90.00
Last column: nearest neighbours and their distance in Å.
Space group P2/m (No. 10)
Unique sites:
Nd  0.2035  0.0000  0.1951 (multiplicity 2)  2 P 2.84, 1 Te 3.15
Nd  0.2268  0.5000  0.7952 (multiplicity 2)  1 P 2.75
Te  0.5000  0.0000  0.0000 (multiplicity 1)  6 Nd 3.11-3.15
P  0.0000  0.5000  0.0000 (multiplicity 1)  6 Nd 2.75-2.84
I  0.0000  0.0000  0.5000 (multiplicity 1)  6 Nd 3.28-3.29
I  0.5000  0.5000  0.5000 (multiplicity 1)  6 Nd 3.53-3.63

=====

Compound: NdYPI
Source: Alexandria
Functional: PBE-GGA
Structure: relaxed

Values from the calculation:
density of states at the Fermi level = 2.38 states/eV/cell
total magnetic moment = 0.0 μB per formula unit
formation energy without anion corrections = -130.38 kJ/mol of atoms

Unit cell a=4.1244 b=4.1244 c=22.7905 alpha=90.00 beta=90.00 gamma=120.00
Last column: nearest neighbours and their distance in Å.
Space group R3m (No. 160, hexagonal axes)
Unique sites:
Nd  0.0000  0.0000  0.0000 (multiplicity 3)  3 P 2.86
Y  0.0000  0.0000  0.2053 (multiplicity 3)  3 P 2.73
P  0.0000  0.0000  0.5972 (multiplicity 3)  3 Y 2.73, 3 Nd 2.86
I  0.0000  0.0000  0.7727 (multiplicity 3)  3 Y 3.29, 3 Nd 3.39

=====

Compound: Nd4ZnPI2
Source: Alexandria
Functional: PBE-GGA
Structure: relaxed

Values from the calculation:
density of states at the Fermi level = 3.84 states/eV/cell
total magnetic moment = 0.0 μB per formula unit
formation energy without anion corrections = -92.18 kJ/mol of atoms

Unit cell a=7.4824 b=4.1849 c=8.1224 alpha=90.00 beta=107.10 gamma=90.00
Last column: nearest neighbours and their distance in Å.
Space group P2/m (No. 10)
Unique sites:
Nd  0.2233  0.0000  0.1963 (multiplicity 2)  2 P 2.85, 1 Zn 2.96
Nd  0.2593  0.5000  0.7957 (multiplicity 2)  1 P 2.90, 2 Zn 2.94
Zn  0.5000  0.0000  0.0000 (multiplicity 1)  6 Nd 2.94-2.96
P  0.0000  0.5000  0.0000 (multiplicity 1)  6 Nd 2.85-2.90
I  0.0000  0.0000  0.5000 (multiplicity 1)  6 Nd 3.34-3.36
I  0.5000  0.5000  0.5000 (multiplicity 1)  6 Nd 3.40-3.43